Arrangement 1

Below is a relaxed LiTmSeO crystal, with properties calculated at the PBE level.

Cell: 3.8573 3.8573 8.7595 Å, 90.00 90.00 90.00°
Last column: nearest neighbours and their distance in Å.
Atoms (fractional coordinates):
Li 0.2500 0.7500 0.0000  4 Se 2.50, 4 Li 2.73
Li 0.7500 0.2500 0.0000  4 Se 2.50, 4 Li 2.73
Tm 0.2500 0.2500 0.3770  4 O 2.21
Tm 0.7500 0.7500 0.6230  4 O 2.21
Se 0.2500 0.2500 0.8177  4 Li 2.50
Se 0.7500 0.7500 0.1823  4 Li 2.50
O 0.2500 0.7500 0.5000  4 Tm 2.21
O 0.7500 0.2500 0.5000  4 Tm 2.21

space-group type = P4/nmm (129)
V = 130.33 Å³/cell

Arrangement 2

Below is a relaxed LiTmSeO crystal, with properties calculated at the PBE level.

Cell: 5.4570 5.4538 10.1046 Å, 90.00 104.53 90.00°
Last column: nearest neighbours and their distance in Å.
Atoms (fractional coordinates):
Li 0.0338 0.0000 0.0900  3 Se 2.54-2.80
Li 0.4404 0.9710 0.9102  3 Se 2.54-2.75
Li 0.5596 0.4710 0.0898  3 Se 2.54-2.75
Li 0.9662 0.5000 0.9100  3 Se 2.54-2.80
Tm 0.0520 0.2550 0.6087  4 O 2.19-2.21
Tm 0.4480 0.2550 0.3913  4 O 2.19-2.21
Tm 0.5520 0.7550 0.6087  4 O 2.19-2.21
Tm 0.9480 0.7550 0.3913  4 O 2.19-2.21
Se 0.0791 0.4896 0.1698  3 Li 2.54-2.78
Se 0.4229 0.4875 0.8306  3 Li 2.54-2.80
Se 0.5771 0.9875 0.1694  3 Li 2.54-2.80
Se 0.9209 0.9896 0.8302  3 Li 2.54-2.78
O 0.2500 0.0060 0.5000  4 Tm 2.19-2.21
O 0.2499 0.5069 0.5003  4 Tm 2.20-2.21
O 0.7501 0.0069 0.4997  4 Tm 2.20-2.21
O 0.7500 0.5060 0.5000  4 Tm 2.19-2.21

space-group type = P2_1 (4)
V = 291.10 Å³/cell

The most stable of them is arrangement 1.

Arrangement 1

Below is a relaxed LiTmSeO crystal, with properties calculated at the PBE level.

Cell: 4.0387 6.4125 6.3617 Å, 90.00 90.00 90.00°
Last column: nearest neighbours and their distance in Å.
Atoms (fractional coordinates):
Li 0.0000 0.2186 0.0000  2 O 2.25
Li 0.0000 0.7814 0.5000  2 O 2.25
Tm 0.5000 0.3657 0.4058  2 O 2.08-2.11
Tm 0.5000 0.6343 0.9058  2 O 2.08-2.11
Se 0.0000 0.1714 0.6031  2 Li 2.54-2.59, 2 Tm 2.68
Se 0.0000 0.8286 0.1031  2 Li 2.54-2.59, 2 Tm 2.68
O 0.5000 0.3562 0.0745  2 Tm 2.08-2.11, 2 Li 2.25
O 0.5000 0.6438 0.5745  2 Tm 2.08-2.11, 2 Li 2.25

space-group type = Pmc2_1 (26)
V = 164.76 Å³/cell

Arrangement 2

Below is a relaxed LiTmSeO crystal, with properties calculated at the PBE level.

Cell: 6.3675 7.1797 6.3375 Å, 90.00 100.15 90.00°
Last column: nearest neighbours and their distance in Å.
Atoms (fractional coordinates):
Li 0.0952 0.2484 0.4213  1 O 1.97
Li 0.0952 0.2516 0.9213  1 O 1.97
Li 0.9048 0.7484 0.0787  1 O 1.97
Li 0.9048 0.7516 0.5787  1 O 1.97
Tm 0.4684 0.6215 0.7727  3 O 2.17-2.24
Tm 0.4684 0.8785 0.2727  3 O 2.17-2.24
Tm 0.5316 0.1215 0.7273  3 O 2.17-2.24
Tm 0.5316 0.3785 0.2273  3 O 2.17-2.24
Se 0.1906 0.5916 0.3526  3 Li 2.55-2.76, 1 Tm 2.82
Se 0.1906 0.9084 0.8526  3 Li 2.55-2.76, 1 Tm 2.82
Se 0.8094 0.0916 0.1474  3 Li 2.55-2.76, 1 Tm 2.82
Se 0.8094 0.4084 0.6474  3 Li 2.55-2.76, 1 Tm 2.82
O 0.3801 0.1535 0.3944  1 Li 1.97, 1 Tm 2.17
O 0.3801 0.3465 0.8944  1 Li 1.97, 1 Tm 2.17
O 0.6199 0.6535 0.1056  1 Li 1.97, 1 Tm 2.17
O 0.6199 0.8465 0.6056  1 Li 1.97, 1 Tm 2.17

space-group type = P2_1/c (14)
V = 285.19 Å³/cell

The most stable of them is arrangement 2.

Arrangement 1

Below is a relaxed Li2ZnSiO4 crystal, with properties calculated at the PBE level.

Cell: 5.0106 10.6230 7.9600 Å, 90.00 128.30 90.00°
Last column: nearest neighbours and their distance in Å.
Atoms (fractional coordinates):
Li 0.0384 0.0772 0.2411  4 O 1.92-2.05
Li 0.0384 0.4228 0.7411  4 O 1.92-2.05
Li 0.1822 0.1641 0.9942  4 O 1.92-1.98
Li 0.1822 0.3359 0.4942  4 O 1.92-1.98
Li 0.8178 0.6641 0.5058  4 O 1.92-1.98
Li 0.8178 0.8359 0.0058  4 O 1.92-1.98
Li 0.9616 0.5772 0.2589  4 O 1.92-2.05
Li 0.9616 0.9228 0.7589  4 O 1.92-2.05
Zn 0.3084 0.6648 0.9995  4 O 1.94-2.01
Zn 0.3084 0.8352 0.4995  4 O 1.94-2.01
Zn 0.6916 0.1648 0.5005  4 O 1.94-2.01
Zn 0.6916 0.3352 0.0005  4 O 1.94-2.01
Si 0.4347 0.0872 0.7477  4 O 1.64-1.65
Si 0.4347 0.4128 0.2477  4 O 1.64-1.65
Si 0.5653 0.5872 0.7523  4 O 1.64-1.65
Si 0.5653 0.9128 0.2523  4 O 1.64-1.65
O 0.1073 0.0884 0.7492  1 Si 1.65
O 0.1073 0.4116 0.2492  1 Si 1.65
O 0.2419 0.6602 0.5372  1 Si 1.65
O 0.2419 0.8398 0.0372  1 Si 1.65
O 0.3195 0.1599 0.5287  1 Si 1.65
O 0.3195 0.3401 0.0287  1 Si 1.65
O 0.4471 0.0581 0.2436  1 Si 1.64
O 0.4471 0.4419 0.7436  1 Si 1.64
O 0.5529 0.5581 0.2564  1 Si 1.64
O 0.5529 0.9419 0.7564  1 Si 1.64
O 0.6805 0.6599 0.9713  1 Si 1.65
O 0.6805 0.8401 0.4713  1 Si 1.65
O 0.7581 0.1602 0.9628  1 Si 1.65
O 0.7581 0.3398 0.4628  1 Si 1.65
O 0.8927 0.5884 0.7508  1 Si 1.65
O 0.8927 0.9116 0.2508  1 Si 1.65

space-group type = P2_1/c (14)
V = 332.51 Å³/cell

Arrangement 2

Below is a relaxed Li2ZnSiO4 crystal, with properties calculated at the PBE level.

Cell: 4.9672 5.3220 7.9609 Å, 90.00 128.37 90.00°
Last column: nearest neighbours and their distance in Å.
Atoms (fractional coordinates):
Li 0.0000 0.1590 0.0000  4 O 1.97-2.01
Li 0.0000 0.8410 0.5000  4 O 1.97-2.01
Li 0.7500 0.3252 0.2485  4 O 1.92-1.98
Li 0.7500 0.6748 0.7485  4 O 1.92-1.98
Zn 0.2557 0.3323 0.7528  4 O 1.97-1.99
Zn 0.2557 0.6677 0.2528  4 O 1.97-1.99
Si 0.5068 0.1712 0.4999  4 O 1.65
Si 0.5068 0.8288 0.9999  4 O 1.65
O 0.1776 0.3135 0.2819  1 Si 1.65
O 0.1776 0.6865 0.7819  1 Si 1.65
O 0.3995 0.1219 0.0011  1 Si 1.65
O 0.3995 0.8781 0.5011  1 Si 1.65
O 0.6189 0.3167 0.7186  1 Si 1.65
O 0.6189 0.6833 0.2186  1 Si 1.65
O 0.8370 0.1781 0.4989  1 Si 1.65
O 0.8370 0.8219 0.9989  1 Si 1.65

space-group type = Pc (7)
V = 164.99 Å³/cell

The most stable of them is arrangement 2.

Arrangement 1

Below is a relaxed Li2Sm2O5 crystal, with properties calculated at the PBE level.

Cell: 3.7267 3.7267 7.0501 Å, 90.00 90.00 90.00°
Last column: nearest neighbours and their distance in Å.
Atoms (fractional coordinates):
Li 0.0000 0.0000 0.2465  5 O 1.79-1.88
Li 0.0000 0.0000 0.7535  5 O 1.79-1.88
Sm 0.5000 0.5000 0.0000  8 O 2.40
Sm 0.5000 0.5000 0.5000  12 O 2.64-2.74
O 0.0000 0.0000 0.5000  2 Li 1.79
O 0.0000 0.5000 0.2143  2 Li 1.88
O 0.0000 0.5000 0.7857  2 Li 1.88
O 0.5000 0.0000 0.2143  2 Li 1.88
O 0.5000 0.0000 0.7857  2 Li 1.88

space-group type = P4/mmm (123)
V = 97.92 Å³/cell

Arrangement 2

Below is a relaxed Li2Sm2O5 crystal, with properties calculated at the PBE level.

Cell: 4.1861 4.1861 8.1652 Å, 90.00 90.00 90.00°
Last column: nearest neighbours and their distance in Å.
Atoms (fractional coordinates):
Li 0.0000 0.0000 0.0000  8 O 2.37
Li 0.0000 0.0000 0.5000  4 O 2.96
Sm 0.5000 0.5000 0.2282  5 O 2.22
Sm 0.5000 0.5000 0.7718  5 O 2.22
O 0.0000 0.5000 0.1368  2 Sm 2.22, 1 O 2.23, 2 Li 2.37
O 0.0000 0.5000 0.8632  2 Sm 2.22, 1 O 2.23, 2 Li 2.37
O 0.5000 0.0000 0.1368  2 Sm 2.22, 1 O 2.23, 2 Li 2.37
O 0.5000 0.0000 0.8632  2 Sm 2.22, 1 O 2.23, 2 Li 2.37
O 0.5000 0.5000 0.5000  2 Sm 2.22

space-group type = P4/mmm (123)
V = 143.09 Å³/cell

The most stable of them is arrangement 1.

Arrangement 1

Below is a relaxed Li2Ta2O5 crystal, with properties calculated at the PBE level.

Cell: 3.5702 3.5702 6.0965 Å, 90.00 90.00 90.00°
Last column: nearest neighbours and their distance in Å.
Atoms (fractional coordinates):
Li 0.0000 0.0000 0.2208  5 O 1.70-1.79
Li 0.0000 0.0000 0.7792  5 O 1.70-1.79
Ta 0.5000 0.5000 0.0000  8 O 2.14
Ta 0.5000 0.5000 0.5000  12 O 2.52-2.58
O 0.0000 0.0000 0.5000  2 Li 1.70
O 0.0000 0.5000 0.1945  2 Li 1.79
O 0.0000 0.5000 0.8055  2 Li 1.79
O 0.5000 0.0000 0.1945  2 Li 1.79
O 0.5000 0.0000 0.8055  2 Li 1.79

space-group type = P4/mmm (123)
V = 77.71 Å³/cell

Arrangement 2

Below is a relaxed Li2Ta2O5 crystal, with properties calculated at the PBE level.

Cell: 3.9366 3.9366 7.1056 Å, 90.00 90.00 90.00°
Last column: nearest neighbours and their distance in Å.
Atoms (fractional coordinates):
Li 0.0000 0.0000 0.0000  8 O 2.46
Li 0.0000 0.0000 0.5000  12 O 2.78-2.86
Ta 0.5000 0.5000 0.2191  5 O 1.97-2.00
Ta 0.5000 0.5000 0.7809  5 O 1.97-2.00
O 0.0000 0.5000 0.2076  2 Ta 1.97
O 0.0000 0.5000 0.7924  2 Ta 1.97
O 0.5000 0.0000 0.2076  2 Ta 1.97
O 0.5000 0.0000 0.7924  2 Ta 1.97
O 0.5000 0.5000 0.5000  2 Ta 2.00

space-group type = P4/mmm (123)
V = 110.11 Å³/cell

The most stable of them is arrangement 2.

Arrangement 1

Below is a relaxed Li2Tc2O5 crystal, with properties calculated at the PBE level.

Cell: 3.4076 3.4076 7.4576 Å, 90.00 90.00 90.00°
Last column: nearest neighbours and their distance in Å.
Atoms (fractional coordinates):
Li 0.0000 0.0000 0.2477  5 O 1.84-1.88
Li 0.0000 0.0000 0.7523  5 O 1.84-1.88
Tc 0.5000 0.5000 0.0000  8 O 2.06
Tc 0.5000 0.5000 0.5000  4 O 2.41
O 0.0000 0.0000 0.5000  2 Li 1.88
O 0.0000 0.5000 0.1543  2 Li 1.84, 2 Tc 2.06
O 0.0000 0.5000 0.8457  2 Li 1.84, 2 Tc 2.06
O 0.5000 0.0000 0.1543  2 Li 1.84, 2 Tc 2.06
O 0.5000 0.0000 0.8457  2 Li 1.84, 2 Tc 2.06

space-group type = P4/mmm (123)
V = 86.60 Å³/cell

Arrangement 2

Below is a relaxed Li2Tc2O5 crystal, with properties calculated at the PBE level.

Cell: 3.8088 3.8088 6.8064 Å, 90.00 90.00 90.00°
Last column: nearest neighbours and their distance in Å.
Atoms (fractional coordinates):
Li 0.0000 0.0000 0.0000  8 O 2.34
Li 0.0000 0.0000 0.5000  12 O 2.69-2.80
Tc 0.5000 0.5000 0.2061  5 O 1.91-2.00
Tc 0.5000 0.5000 0.7939  5 O 1.91-2.00
O 0.0000 0.5000 0.1991  2 Tc 1.91
O 0.0000 0.5000 0.8009  2 Tc 1.91
O 0.5000 0.0000 0.1991  2 Tc 1.91
O 0.5000 0.0000 0.8009  2 Tc 1.91
O 0.5000 0.5000 0.5000  2 Tc 2.00

space-group type = P4/mmm (123)
V = 98.74 Å³/cell

The most stable of them is arrangement 2.

Arrangement 1

Below is a relaxed LiZnO4 crystal, with properties calculated at the PBE level.

Cell: 4.5997 5.4498 5.4746 Å, 90.00 95.65 90.00°
Last column: nearest neighbours and their distance in Å.
Atoms (fractional coordinates):
Li 0.0000 0.1910 0.2500  2 O 1.85
Li 0.0000 0.8090 0.7500  2 O 1.85
Zn 0.5000 0.4422 0.7500  4 O 1.90-1.98
Zn 0.5000 0.5578 0.2500  4 O 1.90-1.98
O 0.0348 0.1865 0.8650  1 O 1.27
O 0.0348 0.8135 0.3650  1 O 1.27
O 0.3139 0.3128 0.4524  1 Li 1.85, 2 Zn 1.90-1.98
O 0.3139 0.6872 0.9524  1 Li 1.85, 2 Zn 1.90-1.98
O 0.6861 0.3128 0.0476  1 Li 1.85, 2 Zn 1.90-1.98
O 0.6861 0.6872 0.5476  1 Li 1.85, 2 Zn 1.90-1.98
O 0.9652 0.1865 0.6350  1 O 1.27
O 0.9652 0.8135 0.1350  1 O 1.27

space-group type = P2/c (13)
V = 136.57 Å³/cell

Arrangement 2

Below is a relaxed LiZnO4 crystal, with properties calculated at the PBE level.

Cell: 3.1362 9.0959 9.4995 Å, 73.11 85.90 86.31°
Last column: nearest neighbours and their distance in Å.
Atoms (fractional coordinates):
Li 0.0389 0.0212 0.3683  4 O 1.84-1.97
Li 0.0389 0.5225 0.8635  4 O 1.88-2.01
Li 0.9611 0.4775 0.1365  4 O 1.88-2.01
Li 0.9611 0.9788 0.6317  4 O 1.84-1.97
Zn 0.4051 0.2788 0.4786  4 O 1.88-2.09
Zn 0.4400 0.7770 0.9488  3 O 1.86-2.06
Zn 0.5600 0.2230 0.0512  3 O 1.86-2.06
Zn 0.5949 0.7212 0.5214  4 O 1.88-2.09
O 0.0448 0.3381 0.0238  2 Zn 1.86, 2 Li 1.88-1.91
O 0.0659 0.8363 0.5279  2 Li 1.84-1.91, 2 Zn 1.88-1.91
O 0.2230 0.6193 0.4052  1 O 1.33
O 0.3111 0.9269 0.0864  1 O 1.32
O 0.3373 0.6036 0.2722  2 O 1.33-1.44
O 0.4329 0.9583 0.7596  1 O 1.43
O 0.4390 0.4459 0.2746  1 O 1.44
O 0.4523 0.0987 0.7981  2 O 1.32-1.43
O 0.5477 0.9013 0.2019  2 O 1.32-1.43
O 0.5610 0.5541 0.7254  1 O 1.44
O 0.5671 0.0417 0.2404  1 O 1.43
O 0.6627 0.3964 0.7278  2 O 1.33-1.44
O 0.6889 0.0731 0.9136  1 O 1.32
O 0.7770 0.3807 0.5948  1 O 1.33
O 0.9341 0.1637 0.4721  2 Li 1.84-1.91, 2 Zn 1.88-1.91
O 0.9552 0.6619 0.9762  2 Zn 1.86, 2 Li 1.88-1.91

space-group type = P-1 (2)
V = 258.37 Å³/cell

Arrangement 3

Below is a relaxed LiZnO4 crystal, with properties calculated at the PBE level.

Cell: 4.9651 9.5283 11.0211 Å, 110.34 91.47 101.66°
Last column: nearest neighbours and their distance in Å.
Atoms (fractional coordinates):
Li 0.0000 0.0000 0.0000  3 O 1.88-2.02
Li 0.0063 0.6878 0.0137  4 O 1.83-1.98
Li 0.0950 0.8915 0.4594  6 O 1.95-2.18
Li 0.3089 0.5333 0.7134  4 O 1.82-2.00
Li 0.3477 0.2227 0.6599  4 O 1.91-2.02
Li 0.3664 0.4981 0.9964  5 O 2.00-2.10
Li 0.6328 0.2205 0.0067  4 O 1.93-2.08
Li 0.8584 0.6486 0.6934  4 O 1.96-2.11
Zn 0.3614 0.6461 0.4617  6 O 1.99-2.12
Zn 0.3648 0.0836 0.2069  5 O 1.92-2.12
Zn 0.4900 0.8549 0.9586  4 O 1.88-2.08
Zn 0.6037 0.3929 0.4828  6 O 1.93-2.15
Zn 0.6771 0.8312 0.2127  4 O 1.90-2.12
Zn 0.8113 0.3823 0.7901  4 O 1.97-2.02
Zn 0.8376 0.1491 0.4723  6 O 2.00-2.18
Zn 0.9302 0.5665 0.2302  6 O 1.95-2.15
O 0.0215 0.3866 0.5257  1 O 1.41
O 0.0262 0.0107 0.6598  1 O 1.28
O 0.0286 0.5925 0.8277  1 O 1.49
O 0.0771 0.8067 0.2647  1 O 1.43
O 0.1909 0.1840 0.8674  2 O 1.32-1.43
O 0.2078 0.4174 0.4385  1 O 1.41
O 0.2157 0.1071 0.4813  1 O 1.42
O 0.2181 0.3173 0.8325  1 O 1.43
O 0.2681 0.6983 0.6466  1 O 1.38
O 0.2769 0.8504 0.1861  1 O 1.43
O 0.3060 0.6378 0.9028  1 O 1.49
O 0.3359 0.5494 0.2658  1 O 1.41
O 0.3890 0.0450 0.0246  2 Zn 1.88-1.92, 2 Li 1.88-1.93
O 0.4212 0.1534 0.4074  1 O 1.42
O 0.4271 0.8372 0.7302  2 O 1.38-1.41
O 0.4779 0.8651 0.4768  1 O 1.38
O 0.5363 0.5975 0.1917  1 O 1.41
O 0.5779 0.4260 0.6647  2 Li 1.82-2.02, 2 Zn 1.93-1.98
O 0.5898 0.3142 0.2740  1 O 1.33
O 0.6683 0.8162 0.7847  1 O 1.41
O 0.6969 0.9072 0.4127  1 O 1.38
O 0.7057 0.4128 0.9676  1 O 1.46
O 0.7230 0.1694 0.6532  1 O 1.56
O 0.7464 0.6195 0.5025  1 O 1.43
O 0.7839 0.0319 0.6868  1 O 1.28
O 0.7900 0.3383 0.2007  1 O 1.33
O 0.7970 0.8320 0.0505  2 Li 1.83-1.97, 2 Zn 1.90
O 0.8048 0.0983 0.2682  1 O 1.35
O 0.9503 0.1477 0.9109  1 O 1.32
O 0.9516 0.6652 0.4268  1 O 1.43
O 0.9701 0.4941 0.0447  1 O 1.46
O 0.9881 0.1534 0.1981  1 O 1.35

space-group type = P1 (1)
V = 476.18 Å³/cell

The most stable of them is arrangement 2.